(1)
Entry from Alexandria via LeMat-Bulk: an optimized crystal structure of Tl2IrPb2 (GGA-PBE).

```
Tl2IrPb2
1.0
7.1568 0.0000 0.0000
0.0000 7.1568 0.0000
0.0000 0.0000 5.6391
Pb Tl Ir
4 4 2
Cartesian
2.4354 6.0138 0.0000
6.0138 4.7214 0.0000
4.7214 1.1430 0.0000
1.1430 2.4354 0.0000
1.2341 4.8125 2.8195
4.8125 5.9227 2.8195
5.9227 2.3443 2.8195
2.3443 1.2341 2.8195
0.0000 0.0000 0.0000
3.5784 3.5784 0.0000
```

formation energy from the elements	308	meV per atom
calculated volume	28.9	Å³ per atom

=====

(2)
Entry from Alexandria via LeMat-Bulk: an optimized crystal structure of HoLu2Mn (GGA-PBE).

```
HoLu2Mn
1.0
-1.2029 -2.5046 -2.0658
3.2404 -0.7896 -0.9295
0.4919 -5.5148 6.3997
Lu Ho Mn
2 1 1
Cartesian
0.3943 -4.4203 5.1296
0.0976 -1.0945 1.2701
1.2647 -4.4045 1.7022
1.0188 -1.6471 -1.4977
```

formation energy from the elements	99	meV per atom
calculated volume	25.4	Å³ per atom

=====

(3)
Entry from Alexandria via LeMat-Bulk: an optimized crystal structure of LiTlH2Br (GGA-PBE).

```
LiTlH2Br
1.0
-3.4503 -0.6718 0.5624
0.3453 -3.1368 -1.6465
3.1109 -2.0652 8.1646
Li Tl H Br
1 1 2 1
Cartesian
-0.9091 -1.4716 4.0277
1.5187 -2.3907 8.1952
1.4754 -4.7296 5.1297
-1.2028 -1.1146 1.4592
1.0206 -2.7646 3.0392
```

calculated volume	22.1	Å³ per atom
energy	-2.67	eV per atom

=====

(4)
Entry from Alexandria via LeMat-Bulk: an optimized crystal structure of NaAcNCl (GGA-PBE).

```
NaAcNCl
1.0
-2.5159 3.0450 -0.4317
-3.2885 0.1903 2.2220
1.4733 4.5671 5.3421
Na Ac N Cl
1 1 1 1
Cartesian
-1.5045 4.5778 4.4866
-5.4983 3.5486 2.2166
-2.5578 6.5586 6.3108
-0.4545 2.5937 2.6579
```

calculated volume	23.3	Å³ per atom
raw formation energy	-1323.4	meV/atom

=====

(5)
Entry from Alexandria via LeMat-Bulk: an optimized crystal structure of Hf2SiW (GGA-PBE).

```
Hf2SiW
1.0
-0.9169 7.5232 0.8416
-4.4002 0.1601 -6.2257
-4.8002 3.4125 -1.1895
Si Hf W
2 4 2
Cartesian
-2.6586 3.8417 -2.6921
-5.9295 3.7072 -5.0537
-2.2971 5.3616 -0.5735
-4.0908 2.1071 -4.0594
-5.7189 5.4452 -3.0878
-8.1278 9.2777 -5.4266
0.0000 0.0000 0.0000
-4.1879 7.3887 -1.5200
```

calculated volume	19.3	Å³ per atom
raw formation energy	474.1	meV/atom

=====

(6)
Entry from Alexandria via LeMat-Bulk: an optimized crystal structure of Ac2Ga3AgAu12 (GGA-PBE).

```
Ac2Ga3AgAu12
1.0
-6.4734 -0.1190 -5.1948
-5.4322 -6.1413 1.2962
-7.2276 2.3492 3.3389
Ac Ga Ag Au
2 3 1 12
Cartesian
-11.7202 -2.3958 -0.3429
-7.4129 -1.5153 -0.2169
-3.2367 -0.0595 -2.5974
-2.7161 -3.0707 0.6481
-3.6138 1.1746 1.6694
0.0000 0.0000 0.0000
-10.4779 -0.1513 1.5403
-13.0212 -4.5362 -2.1201
-13.3906 -3.3272 2.0602
-10.0855 -1.4352 -2.8988
-13.9006 -0.3772 -1.1194
-9.5440 -4.5679 0.4777
-8.6553 -3.7598 -2.1000
-6.1120 0.6251 1.5603
-5.7425 -0.5840 -2.6199
-9.0476 -2.4759 2.3390
-5.2325 -3.5340 0.5597
-9.5892 0.6567 -1.0374
```

formation energy from the elements	-138	meV per atom
calculated volume	24.9	Å³ per atom

=====

(7)
Entry from Alexandria via LeMat-Bulk: an optimized crystal structure of Pm2Si3SnPt4 (GGA-PBE).

```
Pm2Si3SnPt4
1.0
-3.1445 -2.7939 -0.9670
1.8352 -0.7377 -3.8362
5.4866 -7.5885 4.0840
Pm Si Sn Pt
2 3 1 4
Cartesian
-0.2569 -3.2162 0.4956
5.0888 -6.1381 1.1868
2.7433 -3.7943 2.0420
3.2402 -8.0531 3.0987
1.5917 -1.3012 -1.4163
2.0887 -5.5601 -0.3596
-0.6546 -1.7658 -2.4016
0.0000 0.0000 0.0000
1.9633 -6.2870 2.1482
2.8686 -3.0673 -0.4658
```

calculated volume	19.0	Å³ per atom
raw formation energy	-1005.3	meV/atom

=====

(8)
Entry from Alexandria via LeMat-Bulk: an optimized crystal structure of Ac2ErIn12Ni3 (GGA-PBE).

```
Ac2ErIn12Ni3
1.0
-5.4512 6.6769 0.8144
-8.3170 -1.9023 -1.4727
-4.9822 -0.2225 7.0774
Ac Er In Ni
2 1 12 3
Cartesian
-10.9666 2.6624 3.7543
-7.7839 1.8897 2.6648
0.0000 0.0000 0.0000
-8.2105 1.1149 6.1057
-13.8350 3.9303 2.5925
-13.6478 1.1768 5.0920
-8.4982 5.3469 2.2642
-12.5041 4.6007 6.0048
-10.2560 0.0846 0.8613
-10.5400 3.4372 0.3134
-4.9154 0.6218 3.8266
-5.1026 3.3753 1.3271
-10.2523 -0.7948 4.1549
-6.2464 -0.0486 0.4143
-8.4944 4.4676 5.5578
-2.7256 3.3385 0.4072
-4.1585 -0.9511 -0.7364
-2.4911 -0.1113 3.5387
```

formation energy from the elements	-25	meV per atom
calculated volume	28.4	Å³ per atom

=====

(9)
Entry from Alexandria via LeMat-Bulk: an optimized crystal structure of Er2Pa2Te7 (GGA-PBE).

```
Er2Pa2Te7
1.0
-1.9083 2.3599 2.9742
-9.2552 -1.8828 -1.4087
-4.2249 -6.5474 5.5200
Er Pa Te
2 2 7
Cartesian
-8.1276 -2.9284 0.1445
-6.7796 -3.8832 4.8025
-12.1590 -4.2185 4.6526
-4.2083 -0.9442 1.0847
-3.4365 -0.0799 3.9296
-9.2268 -4.3805 6.6624
-5.2240 -5.3258 6.9451
-6.9248 -1.3921 2.7327
-9.4590 -3.7551 2.9817
-10.8606 -7.0025 4.6591
-4.0259 -3.6702 3.3647
```

calculated volume	29.9	Å³ per atom
raw formation energy	-1034.7	meV/atom

=====

(10)
Entry from Alexandria via LeMat-Bulk: an optimized crystal structure of CsGaTe (GGA-PBE).

```
CsGaTe
1.0
5.3867 0.0003 -0.0010
1.7412 7.0321 0.0005
1.7600 1.9677 6.8808
Cs Ga Te
2 2 2
Cartesian
2.6725 3.7936 5.5482
6.2154 5.2065 1.3320
3.6870 7.4343 3.0397
5.2010 1.5658 3.8405
5.3229 6.7874 5.1893
3.5650 2.2127 1.6909
```

calculated volume	43.4	Å³ per atom
raw formation energy	-620.0	meV/atom

=====

(11)
Entry from Alexandria via LeMat-Bulk: an optimized crystal structure of Ce2PaC4 (GGA-PBE).

```
Ce2PaC4
1.0
4.6264 0.0000 0.0000
0.0000 5.0367 0.0000
0.0000 -2.5184 4.9877
Ce Pa C
2 1 4
Cartesian
2.3132 0.0000 1.8038
2.3132 2.5184 3.1839
0.0000 2.5184 0.0000
2.3132 2.5184 0.7260
0.0000 2.5184 4.3047
2.3132 0.0000 4.2617
0.0000 0.0000 0.6830
```

formation energy from the elements	51	meV per atom
calculated volume	16.6	Å³ per atom

=====

(12)
Entry from Alexandria via LeMat-Bulk: an optimized crystal structure of AcThFe (GGA-PBE).

```
AcThFe
1.0
5.9117 0.0000 0.0000
-2.9559 6.5979 -0.0065
0.0000 -2.0157 4.7462
Th Ac Fe
2 2 2
Cartesian
0.0000 -0.3928 4.0335
2.9559 4.9750 0.7063
0.0000 3.5762 2.9140
2.9559 1.0060 1.8257
0.0000 0.8411 1.7608
2.9559 3.7411 2.9790
```

formation energy from the elements	104	meV per atom
calculated volume	30.8	Å³ per atom

=====

(13)
Entry from Alexandria via LeMat-Bulk: an optimized crystal structure of YTe2SeI (GGA-PBE).

```
YTe2SeI
1.0
5.4541 0.0000 0.0000
0.0000 5.4541 0.0000
0.0000 0.0000 5.6090
I Y Te Se
1 1 2 1
Cartesian
0.0000 0.0000 2.8045
2.7271 2.7271 2.8045
0.0000 2.7271 0.0000
2.7271 0.0000 0.0000
0.0000 0.0000 0.0000
```

calculated volume	33.4	Å³ per atom
raw formation energy	-28.4	meV/atom

=====

(14)
Entry from Alexandria via LeMat-Bulk: an optimized crystal structure of Ti3CuSb (GGA-PBE).

```
Ti3CuSb
1.0
5.1177 0.0000 0.0000
0.0000 6.3351 -0.0007
0.0000 -3.1665 5.4870
Ti Cu Sb
6 2 2
Cartesian
1.2794 4.5224 1.0462
3.8383 -1.3538 4.4401
1.2794 3.1668 3.3931
3.8383 0.0018 2.0932
1.2794 1.8122 1.0476
3.8383 1.3565 4.4387
0.0000 0.0000 0.0000
2.5589 0.0000 0.0000
1.2794 -0.0002 3.6583
3.8383 3.1689 1.8280
```

calculated volume	17.8	Å³ per atom
raw formation energy	11.5	meV/atom

=====

(15)
Entry from Alexandria via LeMat-Bulk: an optimized crystal structure of Ac6Ni2IrI3 (GGA-PBE).

```
Ac6Ni2IrI3
1.0
-0.8306 7.4835 -0.8407
-6.1050 -4.4608 0.4791
2.2837 -0.0474 8.6977
Ac Ni Ir I
6 2 1 3
Cartesian
-2.6147 4.2832 6.6071
-4.6331 2.1928 1.3295
-2.0371 -1.3079 1.7290
-4.3694 0.3095 7.0461
-0.0188 0.7825 7.0066
-0.2824 2.6658 1.2900
-4.3467 -0.4789 0.0391
-2.5889 3.5016 -0.4007
0.0000 0.0000 0.0000
-4.0826 -2.4905 4.6076
-0.5692 5.4658 3.7285
-2.3259 1.4876 4.1680
```

calculated volume	35.7	Å³ per atom
raw formation energy	-841.3	meV/atom

=====

(16)
Entry from Alexandria via LeMat-Bulk: an optimized crystal structure of Th2NbGe4Pt3 (GGA-PBE).

```
Th2NbGe4Pt3
1.0
4.3304 0.0000 0.0000
0.0000 4.3304 0.0000
0.0000 0.0000 10.5485
Th Nb Ge Pt
2 1 4 3
Cartesian
2.1652 0.0000 2.5716
0.0000 2.1652 7.9769
2.1652 2.1652 5.2742
2.1652 2.1652 0.0000
0.0000 0.0000 0.0000
2.1652 0.0000 6.7516
0.0000 2.1652 3.7969
0.0000 0.0000 5.2742
2.1652 0.0000 9.2387
0.0000 2.1652 1.3098
```

formation energy from the elements	-809	meV per atom
calculated volume	19.8	Å³ per atom

=====

(17)
Entry from Alexandria via LeMat-Bulk: an optimized crystal structure of Cd2SiCl (GGA-PBE).

```
Cd2SiCl
1.0
-4.6775 8.6261 -1.1023
-5.7771 7.0418 -3.8134
-7.2999 6.5896 -0.8900
Cd Cl Si
2 1 1
Cartesian
-17.6918 22.1790 -5.7853
-4.3769 5.4870 -1.4312
-9.1729 11.4995 -2.9996
-13.1445 16.4784 -4.2983
```

calculated volume	23.2	Å³ per atom
raw formation energy	132.8	meV/atom

=====

(18)
Entry from Alexandria via LeMat-Bulk: an optimized crystal structure of Rb2HgSe (GGA-PBE).

```
Rb2HgSe
1.0
7.1305 0.0000 0.0000
0.0000 7.1305 0.0000
3.5653 3.5653 9.6380
Se Hg Rb
2 2 4
Cartesian
3.5653 3.5653 0.0000
3.5653 7.1305 4.8190
0.0000 0.0000 0.0000
7.1305 3.5653 4.8190
4.8376 1.7826 2.4095
2.2929 5.3479 2.4095
5.3479 5.8582 7.2285
8.9132 8.4029 7.2285
```

calculated volume	61.3	Å³ per atom
raw formation energy	-534.3	meV/atom

=====

(19)
Entry from Alexandria via LeMat-Bulk: an optimized crystal structure of Ca2Nd15Y2 (GGA-PBE).

```
Ca2Nd15Y2
1.0
-5.0554 6.7024 3.2428
0.7823 -1.8219 8.7786
6.5680 5.8111 2.0220
Ca Nd Y
2 15 2
Cartesian
1.5351 7.1516 9.3938
0.7598 3.5399 4.6497
0.3911 -0.9110 4.3893
3.2840 2.9055 1.0110
-2.5277 3.3512 1.6214
3.1471 6.0734 2.3813
-3.3373 4.1936 4.8721
2.4851 0.4246 6.7901
-0.9358 0.6869 7.1494
4.8652 3.5646 4.0106
-1.6345 6.4401 2.8835
1.2158 2.9882 9.3934
4.0478 6.7244 6.0862
-1.6417 7.1607 6.6837
1.0791 7.7034 4.6500
-1.7529 3.9671 7.9573
3.9366 3.5308 7.3597
2.0748 9.6661 12.6965
0.2201 1.0255 1.3470
```

formation energy from the elements	221	meV per atom
calculated volume	37.2	Å³ per atom

=====

(20)
Entry from Alexandria via LeMat-Bulk: an optimized crystal structure of Rb5PSe4F2 (GGA-PBE).

```
Rb5PSe4F2
1.0
-0.6213 -6.7595 -3.5384
-1.4352 0.7190 7.1587
-8.4530 1.7564 -1.8711
Rb P Se F
5 1 4 2
Cartesian
-3.0266 -0.0715 2.0232
-4.4123 -1.1433 -1.9937
-6.7845 0.7094 1.1914
-7.3812 -3.1063 0.3051
-3.6233 -3.8872 1.1370
-0.2604 -2.8334 -1.4832
-2.1175 -3.6066 -2.4665
-7.0654 -2.5785 -3.5617
-0.6436 -2.3861 0.6676
-1.0920 -0.1632 4.7801
-5.6800 -5.2791 -0.1490
-5.0509 -1.4140 0.6372
```

calculated volume	35.3	Å³ per atom
raw formation energy	-1426.3	meV/atom

=====

(21)
Entry from Alexandria via LeMat-Bulk: an optimized crystal structure of Nd4Y2Ho2Tm (GGA-PBE).

```
Nd4Y2Ho2Tm
1.0
-3.5584 3.6382 -0.2778
-3.6789 -7.0858 1.0778
2.2052 2.7103 7.2498
Nd Y Ho Tm
4 2 2 1
Cartesian
-3.3382 0.7046 5.2343
-1.6940 -1.4418 2.8154
-1.6471 2.1387 2.3550
-3.3850 -2.8760 5.6948
-5.2918 -1.3783 2.9791
0.2596 0.6411 5.0706
-3.6390 -3.5113 0.6263
-1.3931 2.7741 7.4235
0.0000 0.0000 0.0000
```

formation energy from the elements	22	meV per atom
calculated volume	33.0	Å³ per atom

=====

(22)
Entry from Alexandria via LeMat-Bulk: an optimized crystal structure of Ce3Pr3TmSe8 (GGA-PBE).

```
Ce3Pr3TmSe8
1.0
8.4259 0.0000 0.0000
-4.2129 7.2961 -0.0239
0.0000 -4.8390 6.9245
Ce Pr Tm Se
3 3 1 8
Cartesian
4.2129 -2.4195 3.4622
2.1065 1.2285 3.4503
-2.1065 1.2285 3.4503
0.0000 0.0000 0.0000
-2.1065 3.6480 -0.0119
2.1065 3.6480 -0.0119
0.0000 -2.4195 3.4622
0.0000 2.4378 1.7498
4.2129 0.0193 5.1508
4.2129 2.4994 1.7906
0.0000 -0.0423 5.1100
6.3722 -1.2400 1.8034
-2.1592 3.6971 5.0972
2.0537 -1.2400 1.8034
2.1592 3.6971 5.0972
```

calculated volume	28.3	Å³ per atom
raw formation energy	-1854.5	meV/atom

=====

(23)
Entry from Alexandria via LeMat-Bulk: an optimized crystal structure of ThPHPt (GGA-PBE).

```
ThPHPt
1.0
-2.2275 -2.4049 -2.7060
-0.3278 -0.6517 4.1875
-3.0261 2.6120 0.1696
Th P H Pt
1 1 1 1
Cartesian
-2.2582 -0.6604 -0.8927
-4.7329 -0.5897 1.0816
-1.6263 -0.0747 1.4051
-3.1374 1.2297 1.4898
```

calculated volume	15.7	Å³ per atom
energy	-6.62	eV per atom